a:
BaYCl2: optimized geometry, PBEsol.

## Properties
Space group: No. 44
D(E_F): 4.82 states/eV/cell

Cell and atoms, written as CIF:
```
data_BaYCl2
_cell_length_a 3.6401
_cell_length_b 3.6992
_cell_length_c 19.4040
_cell_angle_alpha 90.00
_cell_angle_beta 90.00
_cell_angle_gamma 90.00
_space_group_name_H-M_alt 'P 1'
_space_group_IT_number 1
loop_
_space_group_symop_operation_xyz
'x,y,z'
loop_
_atom_site_label
_atom_site_type_symbol
_atom_site_fract_x
_atom_site_fract_y
_atom_site_fract_z
Ba1 Ba 0.0000 0.0000 0.0000
Ba2 Ba 0.5000 0.5000 0.5000
Y1 Y 0.0000 0.5000 0.1807
Y2 Y 0.5000 0.0000 0.6807
Cl1 Cl 0.0000 0.0000 0.4196
Cl2 Cl 0.0000 0.5000 0.7415
Cl3 Cl 0.5000 0.0000 0.2415
Cl4 Cl 0.5000 0.5000 0.9196
```

=====

b:
BaYCl2: optimized geometry, PBEsol.

## Properties
Space group: No. 38
D(E_F): 4.41 states/eV/cell

Cell and atoms, written as CIF:
```
data_BaYCl2
_cell_length_a 3.8870
_cell_length_b 3.7213
_cell_length_c 15.0836
_cell_angle_alpha 90.00
_cell_angle_beta 90.00
_cell_angle_gamma 90.00
_space_group_name_H-M_alt 'P 1'
_space_group_IT_number 1
loop_
_space_group_symop_operation_xyz
'x,y,z'
loop_
_atom_site_label
_atom_site_type_symbol
_atom_site_fract_x
_atom_site_fract_y
_atom_site_fract_z
Ba1 Ba 0.0000 0.0000 0.0000
Ba2 Ba 0.0000 0.5000 0.5000
Y1 Y 0.5000 0.0000 0.2716
Y2 Y 0.5000 0.5000 0.7716
Cl1 Cl 0.0000 0.0000 0.8006
Cl2 Cl 0.0000 0.5000 0.3006
Cl3 Cl 0.5000 0.0000 0.6298
Cl4 Cl 0.5000 0.5000 0.1298
```

=====

Relative to the most stable one, in meV per atom, the structures come out at a 85; b 0.

=====

a:
BaYCl2: optimized geometry, PBEsol.

## Properties
Space group: No. 122
D(E_F): 14.00 states/eV/cell

Cell and atoms, written as CIF:
```
data_BaYCl2
_cell_length_a 5.5597
_cell_length_b 5.5597
_cell_length_c 16.9463
_cell_angle_alpha 90.00
_cell_angle_beta 90.00
_cell_angle_gamma 90.00
_space_group_name_H-M_alt 'P 1'
_space_group_IT_number 1
loop_
_space_group_symop_operation_xyz
'x,y,z'
loop_
_atom_site_label
_atom_site_type_symbol
_atom_site_fract_x
_atom_site_fract_y
_atom_site_fract_z
Ba1 Ba 0.0000 0.0000 0.0000
Ba2 Ba 0.0000 0.5000 0.2500
Ba3 Ba 0.5000 0.0000 0.7500
Ba4 Ba 0.5000 0.5000 0.5000
Y1 Y 0.0000 0.0000 0.5000
Y2 Y 0.0000 0.5000 0.7500
Y3 Y 0.5000 0.0000 0.2500
Y4 Y 0.5000 0.5000 0.0000
Cl1 Cl 0.1490 0.2500 0.6250
Cl2 Cl 0.2500 0.6490 0.8750
Cl3 Cl 0.2500 0.8510 0.3750
Cl4 Cl 0.3510 0.2500 0.1250
Cl5 Cl 0.6490 0.7500 0.1250
Cl6 Cl 0.7500 0.1490 0.3750
Cl7 Cl 0.7500 0.3510 0.8750
Cl8 Cl 0.8510 0.7500 0.6250
```

=====

b:
BaYCl2: optimized geometry, PBEsol.

## Properties
Space group: No. 225
D(E_F): 9.75 states/eV/cell

Cell and atoms, written as CIF:
```
data_BaYCl2
_cell_length_a 7.2543
_cell_length_b 7.2543
_cell_length_c 7.2543
_cell_angle_alpha 90.00
_cell_angle_beta 90.00
_cell_angle_gamma 90.00
_space_group_name_H-M_alt 'P 1'
_space_group_IT_number 1
loop_
_space_group_symop_operation_xyz
'x,y,z'
loop_
_atom_site_label
_atom_site_type_symbol
_atom_site_fract_x
_atom_site_fract_y
_atom_site_fract_z
Ba1 Ba 0.0000 0.0000 0.0000
Ba2 Ba 0.0000 0.5000 0.5000
Ba3 Ba 0.5000 0.0000 0.5000
Ba4 Ba 0.5000 0.5000 0.0000
Y1 Y 0.0000 0.0000 0.5000
Y2 Y 0.0000 0.5000 0.0000
Y3 Y 0.5000 0.0000 0.0000
Y4 Y 0.5000 0.5000 0.5000
Cl1 Cl 0.2500 0.2500 0.2500
Cl2 Cl 0.2500 0.2500 0.7500
Cl3 Cl 0.2500 0.7500 0.2500
Cl4 Cl 0.2500 0.7500 0.7500
Cl5 Cl 0.7500 0.2500 0.2500
Cl6 Cl 0.7500 0.2500 0.7500
Cl7 Cl 0.7500 0.7500 0.2500
Cl8 Cl 0.7500 0.7500 0.7500
```

=====

Relative to the most stable one, in meV per atom, the structures come out at a 0; b 123.

=====

a:
Ba2YCl: optimized geometry, PBEsol.

## Properties
Space group: No. 123
D(E_F): 5.52 states/eV/cell

Cell and atoms, written as CIF:
```
data_Ba2YCl
_cell_length_a 6.2593
_cell_length_b 6.2593
_cell_length_c 3.7967
_cell_angle_alpha 90.00
_cell_angle_beta 90.00
_cell_angle_gamma 90.00
_space_group_name_H-M_alt 'P 1'
_space_group_IT_number 1
loop_
_space_group_symop_operation_xyz
'x,y,z'
loop_
_atom_site_label
_atom_site_type_symbol
_atom_site_fract_x
_atom_site_fract_y
_atom_site_fract_z
Ba1 Ba 0.0000 0.5000 0.0000
Ba2 Ba 0.5000 0.0000 0.0000
Y1 Y 0.0000 0.0000 0.5000
Cl1 Cl 0.5000 0.5000 0.5000
```

=====

b:
Ba2YCl: optimized geometry, PBEsol.

## Properties
Space group: No. 123
D(E_F): 7.01 states/eV/cell

Cell and atoms, written as CIF:
```
data_Ba2YCl
_cell_length_a 3.7869
_cell_length_b 3.7869
_cell_length_c 10.3798
_cell_angle_alpha 90.00
_cell_angle_beta 90.00
_cell_angle_gamma 90.00
_space_group_name_H-M_alt 'P 1'
_space_group_IT_number 1
loop_
_space_group_symop_operation_xyz
'x,y,z'
loop_
_atom_site_label
_atom_site_type_symbol
_atom_site_fract_x
_atom_site_fract_y
_atom_site_fract_z
Ba1 Ba 0.0000 0.0000 0.2088
Ba2 Ba 0.0000 0.0000 0.7912
Y1 Y 0.5000 0.5000 0.5000
Cl1 Cl 0.5000 0.5000 0.0000
```

=====

Relative to the most stable one, in meV per atom, the structures come out at a 207; b 0.

=====

a:
Ba2ZnCl: optimized geometry, PBEsol.

## Properties
Space group: No. 160
D(E_F): 9.23 states/eV/cell

Cell and atoms, written as CIF:
```
data_Ba2ZnCl
_cell_length_a 4.3464
_cell_length_b 4.3464
_cell_length_c 25.6975
_cell_angle_alpha 90.00
_cell_angle_beta 90.00
_cell_angle_gamma 120.00
_space_group_name_H-M_alt 'P 1'
_space_group_IT_number 1
loop_
_space_group_symop_operation_xyz
'x,y,z'
loop_
_atom_site_label
_atom_site_type_symbol
_atom_site_fract_x
_atom_site_fract_y
_atom_site_fract_z
Ba1 Ba 0.0000 0.0000 0.0000
Ba2 Ba 0.0000 0.0000 0.1703
Ba3 Ba 0.3333 0.6667 0.6667
Ba4 Ba 0.3333 0.6667 0.8369
Ba5 Ba 0.6667 0.3333 0.3333
Ba6 Ba 0.6667 0.3333 0.5036
Zn1 Zn 0.0000 0.0000 0.7530
Zn2 Zn 0.3333 0.6667 0.4197
Zn3 Zn 0.6667 0.3333 0.0863
Cl1 Cl 0.0000 0.0000 0.5838
Cl2 Cl 0.3333 0.6667 0.2505
Cl3 Cl 0.6667 0.3333 0.9171
```

=====

b:
Ba2ZnCl: optimized geometry, PBEsol.

## Properties
Space group: No. 47
D(E_F): 3.68 states/eV/cell

Cell and atoms, written as CIF:
```
data_Ba2ZnCl
_cell_length_a 3.7069
_cell_length_b 5.7344
_cell_length_c 5.7479
_cell_angle_alpha 90.00
_cell_angle_beta 90.00
_cell_angle_gamma 90.00
_space_group_name_H-M_alt 'P 1'
_space_group_IT_number 1
loop_
_space_group_symop_operation_xyz
'x,y,z'
loop_
_atom_site_label
_atom_site_type_symbol
_atom_site_fract_x
_atom_site_fract_y
_atom_site_fract_z
Ba1 Ba 0.0000 0.0000 0.0000
Ba2 Ba 0.0000 0.5000 0.5000
Zn1 Zn 0.5000 0.0000 0.5000
Cl1 Cl 0.5000 0.5000 0.0000
```

=====

Relative to the most stable one, in meV per atom, the structures come out at a 0; b 42.

=====

a:
Ba2ZrCl: optimized geometry, PBEsol.

## Properties
Space group: No. 166
D(E_F): 16.29 states/eV/cell

Cell and atoms, written as CIF:
```
data_Ba2ZrCl
_cell_length_a 3.8455
_cell_length_b 3.8455
_cell_length_c 31.2049
_cell_angle_alpha 90.00
_cell_angle_beta 90.00
_cell_angle_gamma 120.00
_space_group_name_H-M_alt 'P 1'
_space_group_IT_number 1
loop_
_space_group_symop_operation_xyz
'x,y,z'
loop_
_atom_site_label
_atom_site_type_symbol
_atom_site_fract_x
_atom_site_fract_y
_atom_site_fract_z
Ba1 Ba 0.0000 0.0000 0.2420
Ba2 Ba 0.0000 0.0000 0.7580
Ba3 Ba 0.3333 0.6667 0.4247
Ba4 Ba 0.3333 0.6667 0.9087
Ba5 Ba 0.6667 0.3333 0.0913
Ba6 Ba 0.6667 0.3333 0.5753
Zr1 Zr 0.0000 0.0000 0.0000
Zr2 Zr 0.3333 0.6667 0.6667
Zr3 Zr 0.6667 0.3333 0.3333
Cl1 Cl 0.0000 0.0000 0.5000
Cl2 Cl 0.3333 0.6667 0.1667
Cl3 Cl 0.6667 0.3333 0.8333
```

=====

b:
Ba2ZrCl: optimized geometry, PBEsol.

## Properties
Space group: No. 216
D(E_F): 22.40 states/eV/cell

Cell and atoms, written as CIF:
```
data_Ba2ZrCl
_cell_length_a 8.1202
_cell_length_b 8.1202
_cell_length_c 8.1202
_cell_angle_alpha 90.00
_cell_angle_beta 90.00
_cell_angle_gamma 90.00
_space_group_name_H-M_alt 'P 1'
_space_group_IT_number 1
loop_
_space_group_symop_operation_xyz
'x,y,z'
loop_
_atom_site_label
_atom_site_type_symbol
_atom_site_fract_x
_atom_site_fract_y
_atom_site_fract_z
Ba1 Ba 0.0000 0.0000 0.0000
Ba2 Ba 0.0000 0.5000 0.5000
Ba3 Ba 0.2500 0.2500 0.2500
Ba4 Ba 0.2500 0.7500 0.7500
Ba5 Ba 0.5000 0.0000 0.5000
Ba6 Ba 0.5000 0.5000 0.0000
Ba7 Ba 0.7500 0.2500 0.7500
Ba8 Ba 0.7500 0.7500 0.2500
Zr1 Zr 0.0000 0.0000 0.5000
Zr2 Zr 0.0000 0.5000 0.0000
Zr3 Zr 0.5000 0.0000 0.0000
Zr4 Zr 0.5000 0.5000 0.5000
Cl1 Cl 0.2500 0.2500 0.7500
Cl2 Cl 0.2500 0.7500 0.2500
Cl3 Cl 0.7500 0.2500 0.2500
Cl4 Cl 0.7500 0.7500 0.7500
```

=====

Relative to the most stable one, in meV per atom, the structures come out at a 0; b 735.

=====

a:
BaCoCu3: optimized geometry, PBEsol.

## Properties
Space group: No. 221
D(E_F): 4.66 states/eV/cell

Cell and atoms, written as CIF:
```
data_BaCoCu3
_cell_length_a 5.1892
_cell_length_b 5.1892
_cell_length_c 5.1892
_cell_angle_alpha 90.00
_cell_angle_beta 90.00
_cell_angle_gamma 90.00
_space_group_name_H-M_alt 'P 1'
_space_group_IT_number 1
loop_
_space_group_symop_operation_xyz
'x,y,z'
loop_
_atom_site_label
_atom_site_type_symbol
_atom_site_fract_x
_atom_site_fract_y
_atom_site_fract_z
Ba1 Ba 0.0000 0.0000 0.0000
Co1 Co 0.5000 0.5000 0.5000
Cu1 Cu 0.0000 0.0000 0.5000
Cu2 Cu 0.0000 0.5000 0.0000
Cu3 Cu 0.5000 0.0000 0.0000
```

=====

b:
BaCoCu3: optimized geometry, PBEsol.

## Properties
Space group: No. 221
D(E_F): 6.21 states/eV/cell

Cell and atoms, written as CIF:
```
data_BaCoCu3
_cell_length_a 4.5889
_cell_length_b 4.5889
_cell_length_c 4.5889
_cell_angle_alpha 90.00
_cell_angle_beta 90.00
_cell_angle_gamma 90.00
_space_group_name_H-M_alt 'P 1'
_space_group_IT_number 1
loop_
_space_group_symop_operation_xyz
'x,y,z'
loop_
_atom_site_label
_atom_site_type_symbol
_atom_site_fract_x
_atom_site_fract_y
_atom_site_fract_z
Ba1 Ba 0.0000 0.0000 0.0000
Co1 Co 0.5000 0.5000 0.5000
Cu1 Cu 0.0000 0.5000 0.5000
Cu2 Cu 0.5000 0.0000 0.5000
Cu3 Cu 0.5000 0.5000 0.0000
```

=====

Relative to the most stable one, in meV per atom, the structures come out at a 1738; b 0.